4
Lattice="2.026 1.170 9.515 -2.026 1.170 9.515 0.000 -2.339 9.515" Properties=species:S:1:pos:R:3 comment="DyY2Bi (PBE, optimized geometry)" delta_e_f_ev_per_atom=-0.186 dos_ef_per_ev_fu=5.2 space_group=R3m pbc="T T T"
Dy 0.000 0.000 0.000
Y 0.000 0.000 6.773
Y 0.000 0.000 12.278
Bi 0.000 0.000 23.811

---

6
Lattice="4.556 0.000 0.000 0.000 4.556 0.000 0.000 0.000 8.635" Properties=species:S:1:pos:R:3 comment="DyYBi (PBE, optimized geometry)" delta_e_f_ev_per_atom=-0.619 dos_ef_per_ev_fu=2.4 space_group=P4/nmm pbc="T T T"
Dy 1.139 3.417 0.000
Dy 3.417 1.139 0.000
Y 1.139 1.139 2.997
Y 3.417 3.417 5.639
Bi 1.139 1.139 6.190
Bi 3.417 3.417 2.445

---

12
Lattice="8.561 -2.187 0.000 8.561 2.187 0.000 -5.728 0.000 10.763" Properties=species:S:1:pos:R:3 comment="DyY3Bi2 (PBE, optimized geometry)" delta_e_f_ev_per_atom=-0.393 dos_ef_per_ev_fu=6.3 space_group=C2/m pbc="T T T"
Dy 0.407 0.000 1.869
Dy 10.985 0.000 8.894
Y -1.004 0.000 5.614
Y -0.462 0.000 9.206
Y 5.980 0.000 2.997
Y 5.413 0.000 7.767
Y 11.855 0.000 1.557
Y 12.397 0.000 5.150
Bi -3.365 0.000 10.193
Bi 2.154 0.000 6.834
Bi 9.239 0.000 3.929
Bi 14.757 0.000 0.571